Below is MnAlSn2 after structural relaxation, with properties calculated at the GGA-PBE level.

## Properties
- size of the total moment (μB per formula unit) = 3.6
- volume (Å³/f.u.) = 89.8
- calculated total energy (eV for the cell shown) = -39.10

Lattice parameters (Å, degrees): 7.720 7.720 6.235 51.75 51.75 90.00
Last column: magnetic moment on the atom in μB.
Element x y z (fractional)
1 Sn 0.875 0.881 0.750  -0.08
2 Sn 0.375 0.369 0.750  -0.08
3 Sn 0.631 0.125 0.250  -0.08
4 Sn 0.119 0.625 0.250  -0.08
5 Mn 0.000 0.000 0.000  3.69
6 Mn 0.750 0.250 0.500  3.69
7 Al 0.500 0.500 0.000  -0.01
8 Al 0.250 0.750 0.500  -0.01

---

Below is Pm6Pd5Pb after structural relaxation, with properties calculated at the GGA-PBE level.

## Properties
- size of the total moment (μB per formula unit) = 0.0
- volume (Å³/f.u.) = 320.7
- calculated total energy (eV for the cell shown) = -65.62

Lattice parameters (Å, degrees): 7.345 7.724 7.015 56.59 81.76 74.91
Element x y z (fractional)
1 Pm 0.780 0.698 0.000
2 Pm 0.280 0.537 0.361
3 Pm 0.720 0.463 0.639
4 Pm 0.720 0.102 0.361
5 Pm 0.220 0.302 0.000
6 Pm 0.280 0.898 0.639
7 Pd 0.000 0.697 0.607
8 Pd 0.500 0.128 0.745
9 Pd 0.500 0.872 0.255
10 Pd 0.000 0.303 0.393
11 Pd 0.500 0.500 0.000
12 Pb 0.000 0.000 0.000

---

Below is BiSe2N after structural relaxation, with properties calculated at the GGA-PBE level.

## Properties
- size of the total moment (μB per formula unit) = 0.0
- volume (Å³/f.u.) = 86.6
- energy above the most stable polymorph in this dataset (meV per atom) = 341
- formation energy without anion corrections (eV/atom) = 1.008

Lattice parameters (Å, degrees): 8.803 8.803 8.803 22.37 22.37 22.37
Element x y z (fractional)
1 Bi 0.000 0.000 0.000
2 N 0.500 0.500 0.500
3 Se 0.115 0.115 0.115
4 Se 0.885 0.885 0.885

---

Below is PrAgPdPb after structural relaxation, with properties calculated at the GGA-PBE level.

## Properties
- size of the total moment (μB per formula unit) = 0.0
- volume (Å³/f.u.) = 91.8
- calculated total energy (eV for the cell shown) = -18.37

Lattice parameters (Å, degrees): 5.063 5.063 5.063 60.00 60.00 60.00
Element x y z (fractional)
1 Ag 0.500 0.500 0.500
2 Pd 0.000 0.000 0.000
3 Pb 0.750 0.750 0.750
4 Pr 0.250 0.250 0.250

---

Below is BeAl2BiOs after structural relaxation, with properties calculated at the GGA-PBE level.

## Properties
- size of the total moment (μB per formula unit) = 0.0
- volume (Å³/f.u.) = 87.1
- calculated total energy (eV for the cell shown) = -23.69

Lattice parameters (Å, degrees): 4.505 4.290 4.505 90.00 90.00 90.00
Element x y z (fractional)
1 Al 0.500 0.000 0.000
2 Al 0.000 0.000 0.500
3 Bi 0.500 0.500 0.500
4 Be 0.000 0.000 0.000
5 Os 0.000 0.500 0.000

---

Below is PaBeMo after structural relaxation, with properties calculated at the GGA-PBE level.

## Properties
- size of the total moment (μB per formula unit) = 0.0
- volume (Å³/f.u.) = 49.0
- energy above the most stable polymorph in this dataset (meV per atom) = 0

Lattice parameters (Å, degrees): 5.381 5.149 8.725 80.73 72.04 58.50
Element x y z (fractional)
1 Be 0.629 0.500 0.742
2 Be 0.121 0.000 0.758
3 Be 0.879 0.000 0.242
4 Be 0.871 0.500 0.258
5 Pa 0.585 0.000 0.830
6 Pa 0.165 0.500 0.670
7 Pa 0.415 0.000 0.170
8 Pa 0.335 0.500 0.330
9 Mo 0.172 0.655 0.000
10 Mo 0.578 0.845 0.500
11 Mo 0.828 0.345 0.000
12 Mo 0.922 0.155 0.500

---

Below is AlB2Pb6O7F7 after structural relaxation, with properties calculated at the GGA-PBE level.

## Properties
- size of the total moment (μB per formula unit) = 0.0
- volume (Å³/f.u.) = 359.7
- formation energy without anion corrections (eV/atom) = -2.187

Lattice parameters (Å, degrees): 11.074 11.074 6.443 90.00 90.00 114.43
Element x y z (fractional)
1 O 0.329 0.671 0.745
2 O 0.383 0.270 0.243
3 O 0.670 0.805 0.255
4 O 0.836 0.895 0.685
5 O 0.270 0.383 0.743
6 O 0.105 0.164 0.685
7 O 0.730 0.617 0.243
8 O 0.330 0.195 0.755
9 O 0.805 0.670 0.755
10 O 0.617 0.730 0.743
11 O 0.895 0.836 0.185
12 O 0.671 0.329 0.245
13 O 0.164 0.105 0.185
14 O 0.195 0.330 0.255
15 F 0.812 0.188 0.825
16 F 0.682 0.093 0.167
17 F 0.799 0.417 0.893
18 F 0.188 0.812 0.325
19 F 0.584 0.416 0.596
20 F 0.583 0.201 0.893
21 F 0.416 0.584 0.096
22 F 0.911 0.089 0.382
23 F 0.907 0.318 0.167
24 F 0.089 0.911 0.882
25 F 0.093 0.682 0.667
26 F 0.318 0.907 0.667
27 F 0.417 0.799 0.393
28 F 0.201 0.583 0.393
29 Pb 0.501 0.803 0.979
30 Pb 0.964 0.686 0.993
31 Pb 0.948 0.052 0.999
32 Pb 0.499 0.197 0.479
33 Pb 0.052 0.948 0.499
34 Pb 0.036 0.314 0.493
35 Pb 0.314 0.036 0.993
36 Pb 0.429 0.571 0.522
37 Pb 0.571 0.429 0.022
38 Pb 0.197 0.499 0.979
39 Pb 0.686 0.964 0.493
40 Pb 0.803 0.501 0.479
41 B 0.237 0.247 0.731
42 B 0.753 0.763 0.731
43 B 0.247 0.237 0.231
44 B 0.763 0.753 0.231
45 Al 0.255 0.745 0.537
46 Al 0.745 0.255 0.037

---

Below is Fe2NiCl after structural relaxation, with properties calculated at the GGA-PBE level.

## Properties
- size of the total moment (μB per formula unit) = 6.8
- volume (Å³/f.u.) = 61.1
- energy above the most stable polymorph in this dataset (meV per atom) = 0
- formation energy without anion corrections (eV/atom) = 0.129

Lattice parameters (Å, degrees): 2.813 3.371 6.443 89.99 90.00 90.00
Last column: magnetic moment on the atom in μB.
Element x y z (fractional)
1 Fe 0.000 0.750 0.064  2.91
2 Fe 0.000 0.750 0.436  2.91
3 Cl 0.500 0.750 0.750  0.08
4 Ni 0.500 0.250 0.250  0.88

---

Below is CsCaAs3 after structural relaxation, with properties calculated at the GGA-PBE level.

## Properties
- size of the total moment (μB per formula unit) = 0.0
- volume (Å³/f.u.) = 173.4
- energy above the most stable polymorph in this dataset (meV per atom) = 0

Lattice parameters (Å, degrees): 5.576 5.576 5.576 90.00 90.00 90.00
Element x y z (fractional)
1 Ca 0.000 0.000 0.000
2 As 0.500 0.000 0.000
3 As 0.000 0.500 0.000
4 As 0.000 0.000 0.500
5 Cs 0.500 0.500 0.500

---

Below is PmLuSiIr after structural relaxation, with properties calculated at the GGA-PBE level.

## Properties
- size of the total moment (μB per formula unit) = 0.0
- volume (Å³/f.u.) = 85.4
- formation energy without anion corrections (eV/atom) = -0.561

Lattice parameters (Å, degrees): 4.942 4.942 4.942 60.00 60.00 60.00
Element x y z (fractional)
1 Ir 0.250 0.250 0.250
2 Lu 0.000 0.000 0.000
3 Pm 0.500 0.500 0.500
4 Si 0.750 0.750 0.750

---

Below is Mn2ReHAu after structural relaxation, with properties calculated at the GGA-PBE level.

## Properties
- size of the total moment (μB per formula unit) = 12.9
- volume (Å³/f.u.) = 127.9
- energy above the most stable polymorph in this dataset (meV per atom) = 1811

Lattice parameters (Å, degrees): 5.014 5.088 5.014 90.00 90.00 90.00
Last column: magnetic moment on the atom in μB.
Element x y z (fractional)
1 Mn 0.000 0.000 0.500  4.31
2 Mn 0.500 0.000 0.000  4.13
3 H 0.500 0.500 0.500  0.08
4 Re 0.000 0.500 0.000  3.00
5 Au 0.000 0.000 0.000  0.14

---

Below is SiHAu after structural relaxation, with properties calculated at the GGA-PBE level.

## Properties
- size of the total moment (μB per formula unit) = 0.0
- volume (Å³/f.u.) = 39.8
- energy above the most stable polymorph in this dataset (meV per atom) = 170

Lattice parameters (Å, degrees): 2.893 4.541 6.058 90.00 90.00 90.00
Element x y z (fractional)
1 Au 0.000 0.500 0.267
2 Au 0.500 0.000 0.767
3 H 0.500 0.000 0.469
4 H 0.000 0.500 0.969
5 Si 0.500 0.000 0.200
6 Si 0.000 0.500 0.700

---

Q: Look up the size of the total moment of the ninth one.
A: 0.0 μB per formula unit